HgAsPb PBE-GGA optimized geometry; V = 88 Å³ per cell; relative energy among the computed polymorphs = 0.057 eV/atom; energy of formation = 10.3 kJ/mol of atoms; space-group type = No. 216
1.0
0.000 3.528 3.528
3.528 0.000 3.528
3.528 3.528 0.000
Hg As Pb
1 1 1
Direct
0.000 0.000 0.000 Hg
0.250 0.250 0.250 As
0.500 0.500 0.500 Pb

Ag12Te7Au PBE-GGA optimized geometry; V = 484 Å³ per cell; energy = -58.9 eV/f.u.; space-group type = No. 148
1.0
6.400 3.695 3.410
-6.400 3.695 3.410
0.000 -7.390 3.410
Ag Te Au
12 7 1
Direct
0.001 0.499 0.310 Ag
0.274 0.339 0.673 Ag
0.310 0.001 0.499 Ag
0.327 0.726 0.661 Ag
0.339 0.673 0.274 Ag
0.499 0.310 0.001 Ag
0.501 0.690 0.999 Ag
0.661 0.327 0.726 Ag
0.673 0.274 0.339 Ag
0.690 0.999 0.501 Ag
0.726 0.661 0.327 Ag
0.999 0.501 0.690 Ag
0.031 0.844 0.646 Te
0.156 0.354 0.969 Te
0.354 0.969 0.156 Te
0.500 0.500 0.500 Te
0.646 0.031 0.844 Te
0.844 0.646 0.031 Te
0.969 0.156 0.354 Te
0.000 0.000 0.000 Au

SmDy6Th4 PBE-GGA optimized geometry; V = 360 Å³ per cell; energy of formation = 16.4 kJ/mol of atoms; space-group type = No. 71
1.0
-1.719 2.935 17.861
1.719 -2.935 17.861
1.719 2.935 -17.861
Sm Dy Th
1 6 4
Direct
0.000 0.000 0.000 Sm
0.097 0.597 0.500 Dy
0.267 0.767 0.500 Dy
0.369 0.869 0.500 Dy
0.631 0.131 0.500 Dy
0.733 0.233 0.500 Dy
0.903 0.403 0.500 Dy
0.182 0.182 0.000 Th
0.456 0.456 0.000 Th
0.544 0.544 0.000 Th
0.818 0.818 0.000 Th

Pm5SmHo2 PBE-GGA optimized geometry; V = 534 Å³ per cell; relative energy among the computed polymorphs = 0.000 eV/atom; energy of formation = 1.4 kJ/mol of atoms; space-group type = No. 55
1.0
7.230 0.000 0.000
0.000 14.460 0.000
0.000 0.000 5.108
Pm Sm Ho
10 2 4
Direct
0.000 0.000 0.000 Pm
0.000 0.250 0.000 Pm
0.000 0.750 0.000 Pm
0.250 0.125 0.500 Pm
0.250 0.625 0.500 Pm
0.500 0.250 0.000 Pm
0.500 0.500 0.000 Pm
0.500 0.750 0.000 Pm
0.750 0.375 0.500 Pm
0.750 0.875 0.500 Pm
0.000 0.500 0.000 Sm
0.500 0.000 0.000 Sm
0.250 0.375 0.500 Ho
0.250 0.875 0.500 Ho
0.750 0.125 0.500 Ho
0.750 0.625 0.500 Ho

RbTlBr2 PBE-GGA optimized geometry; V = 163 Å³ per cell; relative energy among the computed polymorphs = 0.000 eV/atom; space-group type = No. 166
1.0
2.440 1.409 7.908
-2.440 1.409 7.908
0.000 -2.818 7.908
Rb Tl Br
1 1 2
Direct
0.000 0.000 0.000 Rb
0.500 0.500 0.500 Tl
0.248 0.248 0.248 Br
0.752 0.752 0.752 Br

TbTa4N6 PBE-GGA optimized geometry; V = 253 Å³ per cell; energy = -115.3 eV/f.u.; space-group type = No. 63
1.0
1.566 -5.140 0.000
1.566 5.140 0.000
0.000 0.000 15.709
Tb Ta N
2 8 12
Direct
0.153 0.847 0.750 Tb
0.847 0.153 0.250 Tb
0.102 0.898 0.131 Ta
0.102 0.898 0.369 Ta
0.354 0.646 0.042 Ta
0.354 0.646 0.458 Ta
0.646 0.354 0.542 Ta
0.646 0.354 0.958 Ta
0.898 0.102 0.631 Ta
0.898 0.102 0.869 Ta
0.000 0.000 0.000 N
0.000 0.000 0.500 N
0.171 0.829 0.250 N
0.264 0.736 0.594 N
0.264 0.736 0.906 N
0.465 0.535 0.157 N
0.465 0.535 0.343 N
0.535 0.465 0.657 N
0.535 0.465 0.843 N
0.736 0.264 0.094 N
0.736 0.264 0.406 N
0.829 0.171 0.750 N